Record 1
# HgOs2Pb (PBE, optimized geometry)
# distance to the lowest polymorph of the same formula = 15.06 kcal/mol of atoms
# density of states at the Fermi level = 9.1 states/eV per cell
data_HgOs2Pb
_space_group_name_H-M_alt 'I m m m'
_space_group_IT_number 71
_space_group_name_Hall '-I 2 2'
_cell_length_a 3.065
_cell_length_b 5.157
_cell_length_c 9.358
_cell_angle_alpha 90.00
_cell_angle_beta 90.00
_cell_angle_gamma 90.00
loop_
_atom_site_label
_atom_site_type_symbol
_atom_site_fract_x
_atom_site_fract_y
_atom_site_fract_z
Hg1 Hg 0.000 0.000 0.000
Os1 Os 0.000 0.500 0.245
Pb1 Pb 0.000 0.000 0.500

Record 2
# BaPrAgTe3 (PBE, optimized geometry)
# formation energy from raw total energies = -1.269 eV per atom
data_BaPrAgTe3
_space_group_name_H-M_alt 'P 1 21/m 1'
_space_group_IT_number 11
_cell_length_a 9.501
_cell_length_b 4.596
_cell_length_c 10.222
_cell_angle_alpha 90.00
_cell_angle_beta 104.43
_cell_angle_gamma 90.00
loop_
_space_group_symop_operation_xyz
'x,y,z'
'-x,-y,-z'
'-x,y+1/2,-z'
'x,-y+1/2,z'
loop_
_atom_site_label
_atom_site_type_symbol
_atom_site_fract_x
_atom_site_fract_y
_atom_site_fract_z
Ba1 Ba 0.193 0.250 0.245
Pr1 Pr 0.323 0.750 0.837
Ag1 Ag 0.082 0.250 0.586
Te1 Te 0.099 0.250 0.870
Te2 Te 0.237 0.750 0.517
Te3 Te 0.441 0.750 0.164

Record 3
# BaY2MgPd (PBE, optimized geometry)
# density of states at the Fermi level = 3.5 states/eV per cell
# final energy = -4.5537 eV/atom
data_BaY2MgPd
_space_group_name_H-M_alt 'P 4/m m m'
_space_group_IT_number 123
_space_group_name_Hall '-P 4 2'
_cell_length_a 5.520
_cell_length_b 5.520
_cell_length_c 5.404
_cell_angle_alpha 90.00
_cell_angle_beta 90.00
_cell_angle_gamma 90.00
loop_
_atom_site_label
_atom_site_type_symbol
_atom_site_fract_x
_atom_site_fract_y
_atom_site_fract_z
Ba1 Ba 0.000 0.000 0.000
Y1 Y 0.000 0.500 0.500
Mg1 Mg 0.500 0.500 0.000
Pd1 Pd 0.500 0.500 0.500

Record 4
# Gd6Fe23 (PBE, optimized geometry)
# density of states at the Fermi level = 120.0 states/eV per cell
# final energy = -9.6665 eV/atom
data_Gd6Fe23
_space_group_name_H-M_alt 'F m -3 m'
_space_group_IT_number 225
_space_group_name_Hall '-F 4 2 3'
_cell_length_a 12.047
_cell_length_b 12.047
_cell_length_c 12.047
_cell_angle_alpha 90.00
_cell_angle_beta 90.00
_cell_angle_gamma 90.00
loop_
_atom_site_label
_atom_site_type_symbol
_atom_site_fract_x
_atom_site_fract_y
_atom_site_fract_z
Gd1 Gd 0.000 0.000 0.210
Fe1 Fe 0.000 0.000 0.500
Fe2 Fe 0.000 0.250 0.250
Fe3 Fe 0.122 0.122 0.378
Fe4 Fe 0.176 0.176 0.176

no.,V (Å³/atom)
1,18.49
2,36.02
3,32.93
4,15.07